--- a ---
{"formula": "ScCr2Co", "functional": "PBE", "state": "optimized geometry", "sg": "P4/mmm", "lattice": [[-0.699, 1.494, -3.866], [-2.659, -3.169, -0.744], [-2.417, 1.766, 1.119]], "species": ["Co", "Cr", "Cr", "Sc"], "fractional_positions": [[0.000, 0.500, 0.500], [0.000, 0.000, 0.000], [0.500, 0.500, 0.000], [0.500, 0.000, 0.500]]}

***

--- b ---
{"formula": "ScCr2Co", "functional": "PBE", "state": "optimized geometry", "sg": "R3m", "lattice": [[-3.747, 6.758, 2.390], [-3.592, 5.362, 4.875], [-1.374, 6.913, 3.969]], "species": ["Co", "Cr", "Cr", "Sc"], "fractional_positions": [[0.742, 0.742, 0.742], [0.998, 0.998, 0.998], [0.263, 0.263, 0.263], [0.497, 0.497, 0.497]]}

***

--- c ---
{"formula": "ScCr2Co", "functional": "PBE", "state": "optimized geometry", "sg": "I-42d", "lattice": [[-2.729, -2.389, 5.879], [-4.184, -4.134, -3.622], [-1.786, -5.009, 1.194]], "species": ["Sc", "Sc", "Cr", "Cr", "Cr", "Cr", "Co", "Co"], "fractional_positions": [[0.500, 0.500, 0.000], [0.250, 0.750, 0.500], [0.673, 0.125, 0.250], [0.077, 0.625, 0.250], [0.375, 0.327, 0.750], [0.875, 0.923, 0.750], [0.000, 0.000, 0.000], [0.750, 0.250, 0.500]]}

***

--- d ---
{"formula": "ScCr2Co", "functional": "PBE", "state": "optimized geometry", "sg": "P4/mmm", "lattice": [[-3.092, -0.516, -0.022], [0.491, -2.976, 0.861], [-0.311, 1.610, 5.743]], "species": ["Co", "Cr", "Cr", "Sc"], "fractional_positions": [[0.500, 0.500, 0.750], [0.000, 0.000, 0.922], [0.000, 0.000, 0.578], [0.500, 0.500, 0.250]]}

***

Quick look at relative energies in kJ/mol of atoms: a 7.0; b 3.3; c 19.2; d 0.0.

***

--- a ---
{"formula": "ScCr2Co", "functional": "PBE", "state": "optimized geometry", "sg": "Cmmm", "lattice": [[2.602, 0.056, 0.000], [-0.023, 2.602, 0.000], [0.000, 0.000, 7.909]], "species": ["Co", "Cr", "Cr", "Sc"], "fractional_positions": [[0.500, 0.500, 0.750], [0.000, 0.000, 0.962], [0.000, 0.000, 0.538], [0.500, 0.500, 0.250]]}

***

--- b ---
{"formula": "ScCr2Co", "functional": "PBE", "state": "optimized geometry", "sg": "Cmmm", "lattice": [[-1.962, 0.374, 4.539], [3.746, -3.078, -1.041], [1.686, 1.857, 0.575]], "species": ["Co", "Cr", "Cr", "Sc"], "fractional_positions": [[0.000, 0.500, 0.500], [0.000, 0.000, 0.000], [0.500, 0.500, 0.000], [0.500, 0.000, 0.500]]}

***

Quick look at relative energies in kJ/mol of atoms: a 0.0; b 5.3.

***

--- a ---
{"formula": "ScCrCo2", "functional": "PBE", "state": "optimized geometry", "sg": "P4mm", "lattice": [[-2.720, -0.369, 1.152], [1.196, -0.395, 2.697], [-0.372, 6.006, 1.044]], "species": ["Co", "Co", "Cr", "Sc"], "fractional_positions": [[0.000, 0.000, 0.035], [0.500, 0.500, 0.257], [0.000, 0.000, 0.449], [0.500, 0.500, 0.759]]}

***

--- b ---
{"formula": "ScCrCo2", "functional": "PBE", "state": "optimized geometry", "sg": "Imm2", "lattice": [[5.062, 0.003, -0.002], [2.419, 4.447, 0.002], [-3.320, -2.932, 2.451]], "species": ["Co", "Co", "Cr", "Sc"], "fractional_positions": [[0.984, 0.984, 0.000], [0.759, 0.259, 0.500], [0.516, 0.516, 0.000], [0.242, 0.742, 0.500]]}

***

Quick look at relative energies in kJ/mol of atoms: a 5.9; b 0.0.

***

--- a ---
{"formula": "ScCrCo2", "functional": "PBE", "state": "optimized geometry", "sg": "P4/mmm", "lattice": [[4.225, 0.029, 0.000], [-0.030, 4.225, 0.000], [0.000, 0.000, 2.974]], "species": ["Co", "Co", "Cr", "Sc"], "fractional_positions": [[0.000, 0.000, 0.000], [0.500, 0.500, 0.000], [0.500, 0.000, 0.500], [0.000, 0.500, 0.500]]}

***

--- b ---
{"formula": "ScCrCo2", "functional": "PBE", "state": "optimized geometry", "sg": "R3m", "lattice": [[8.479, -0.003, -0.002], [8.038, 2.698, -0.002], [8.038, 1.312, 2.358]], "species": ["Co", "Co", "Cr", "Sc"], "fractional_positions": [[0.993, 0.993, 0.993], [0.250, 0.250, 0.250], [0.508, 0.508, 0.508], [0.749, 0.749, 0.749]]}

***

Quick look at relative energies in kJ/mol of atoms: a 0.0; b 41.8.

***

--- a ---
{"formula": "ScCrCo2", "functional": "PBE", "state": "optimized geometry", "sg": "R-3m", "lattice": [[8.078, -0.033, -0.020], [7.604, 2.727, -0.020], [7.604, 1.306, 2.394]], "species": ["Co", "Co", "Cr", "Sc"], "fractional_positions": [[0.993, 0.993, 0.993], [0.507, 0.507, 0.507], [0.250, 0.250, 0.250], [0.750, 0.750, 0.750]]}

***

--- b ---
{"formula": "ScCrCo2", "functional": "PBE", "state": "optimized geometry", "sg": "F-43m", "lattice": [[-2.653, -3.337, 0.099], [-0.611, -2.343, -3.510], [1.553, -3.965, -0.214]], "species": ["Co", "Co", "Cr", "Sc"], "fractional_positions": [[0.000, 0.000, 0.000], [0.750, 0.750, 0.750], [0.500, 0.500, 0.500], [0.250, 0.250, 0.250]]}

***

--- c ---
{"formula": "ScCrCo2", "functional": "PBE", "state": "optimized geometry", "sg": "Fm-3m", "lattice": [[0.000, 2.988, 2.988], [2.988, 0.000, 2.988], [2.988, 2.988, 0.000]], "species": ["Sc", "Cr", "Co", "Co"], "fractional_positions": [[0.000, 0.000, 0.000], [0.500, 0.500, 0.500], [0.250, 0.250, 0.250], [0.750, 0.750, 0.750]]}

***

Quick look at relative energies in kJ/mol of atoms: a 33.4; b 22.1; c 0.0.

***

--- a ---
{"formula": "ScCrCo2", "functional": "PBE", "state": "optimized geometry", "sg": "I-42d", "lattice": [[6.592, 0.000, 0.000], [0.000, 6.592, 0.000], [3.296, 3.296, 2.606]], "species": ["Sc", "Sc", "Cr", "Cr", "Co", "Co", "Co", "Co"], "fractional_positions": [[0.500, 0.500, 0.000], [0.250, 0.750, 0.500], [0.000, 0.000, 0.000], [0.750, 0.250, 0.500], [0.677, 0.125, 0.250], [0.073, 0.625, 0.250], [0.375, 0.323, 0.750], [0.875, 0.927, 0.750]]}

***

--- b ---
{"formula": "ScCrCo2", "functional": "PBE", "state": "optimized geometry", "sg": "Cm", "lattice": [[4.615, -0.007, 0.004], [3.781, 2.645, 0.004], [0.914, 0.287, 4.382]], "species": ["Co", "Co", "Cr", "Sc"], "fractional_positions": [[0.013, 0.013, 0.987], [0.750, 0.750, 0.719], [0.481, 0.481, 0.575], [0.256, 0.256, 0.218]]}

***

Quick look at relative energies in kJ/mol of atoms: a 19.1; b 0.0.

***

--- a ---
{"formula": "ScCrCo3", "functional": "PBE", "state": "optimized geometry", "sg": "Pm-3m", "lattice": [[-3.009, -1.370, 2.586], [2.524, -3.093, 1.299], [1.482, 2.486, 3.041]], "species": ["Sc", "Cr", "Co", "Co", "Co"], "fractional_positions": [[0.500, 0.500, 0.500], [0.000, 0.000, 0.000], [0.000, 0.500, 0.000], [0.000, 0.000, 0.500], [0.500, 0.000, 0.000]]}

***

--- b ---
{"formula": "ScCrCo3", "functional": "PBE", "state": "optimized geometry", "sg": "Pm-3m", "lattice": [[4.296, 0.000, 0.000], [0.000, 4.296, 0.000], [0.000, 0.000, 4.296]], "species": ["Sc", "Cr", "Co", "Co", "Co"], "fractional_positions": [[0.000, 0.000, 0.000], [0.500, 0.500, 0.500], [0.000, 0.500, 0.000], [0.000, 0.000, 0.500], [0.500, 0.000, 0.000]]}

***

Quick look at relative energies in kJ/mol of atoms: a 0.0; b 107.7.

***

--- a ---
{"formula": "ScCr2Co2", "functional": "PBE", "state": "optimized geometry", "sg": "P4/mbm", "lattice": [[7.040, 0.000, 0.000], [0.000, 7.040, 0.000], [0.000, 0.000, 2.602]], "species": ["Sc", "Sc", "Cr", "Cr", "Cr", "Cr", "Co", "Co", "Co", "Co"], "fractional_positions": [[0.000, 0.000, 0.000], [0.500, 0.500, 0.000], [0.165, 0.665, 0.500], [0.665, 0.835, 0.500], [0.835, 0.335, 0.500], [0.335, 0.165, 0.500], [0.374, 0.874, 0.000], [0.874, 0.626, 0.000], [0.626, 0.126, 0.000], [0.126, 0.374, 0.000]]}

***

--- b ---
{"formula": "ScCr2Co2", "functional": "PBE", "state": "optimized geometry", "sg": "P4/mbm", "lattice": [[7.121, 0.000, 0.000], [0.000, 7.121, 0.000], [0.000, 0.000, 2.537]], "species": ["Sc", "Sc", "Cr", "Cr", "Cr", "Cr", "Co", "Co", "Co", "Co"], "fractional_positions": [[0.000, 0.000, 0.000], [0.500, 0.500, 0.000], [0.385, 0.885, 0.000], [0.885, 0.615, 0.000], [0.615, 0.115, 0.000], [0.115, 0.385, 0.000], [0.175, 0.675, 0.500], [0.675, 0.825, 0.500], [0.825, 0.325, 0.500], [0.325, 0.175, 0.500]]}

***

Quick look at relative energies in kJ/mol of atoms: a 4.2; b 0.0.

***

--- a ---
{"formula": "Cr3CoSe", "functional": "PBE", "state": "optimized geometry", "sg": "Pm-3m", "lattice": [[-0.788, -2.474, 3.422], [-2.111, -2.784, -2.499], [3.657, -2.141, -0.705]], "species": ["Cr", "Cr", "Cr", "Co", "Se"], "fractional_positions": [[0.000, 0.500, 0.000], [0.000, 0.000, 0.500], [0.500, 0.000, 0.000], [0.500, 0.500, 0.500], [0.000, 0.000, 0.000]]}

***

--- b ---
{"formula": "Cr3CoSe", "functional": "PBE", "state": "optimized geometry", "sg": "Pm-3m", "lattice": [[4.443, 0.000, 0.000], [0.000, 4.443, 0.000], [0.000, 0.000, 4.443]], "species": ["Cr", "Cr", "Cr", "Co", "Se"], "fractional_positions": [[0.000, 0.500, 0.000], [0.000, 0.000, 0.500], [0.500, 0.000, 0.000], [0.000, 0.000, 0.000], [0.500, 0.500, 0.500]]}

***

Quick look at relative energies in kJ/mol of atoms: a 39.4; b 0.0.

***

--- a ---
{"formula": "Cr2Co2Si", "functional": "PBE", "state": "optimized geometry", "sg": "I4/mmm", "lattice": [[-0.274, -2.879, -1.874], [-0.258, -1.858, 2.891], [-5.453, -1.807, 0.405]], "species": ["Cr", "Cr", "Si", "Co", "Co"], "fractional_positions": [[0.401, 0.401, 0.199], [0.599, 0.599, 0.801], [0.000, 0.000, 0.000], [0.750, 0.250, 0.500], [0.250, 0.750, 0.500]]}

***

--- b ---
{"formula": "Cr2Co2Si", "functional": "PBE", "state": "optimized geometry", "sg": "P4/mbm", "lattice": [[6.640, 0.000, 0.000], [0.000, 6.640, 0.000], [0.000, 0.000, 2.655]], "species": ["Cr", "Cr", "Cr", "Cr", "Si", "Si", "Co", "Co", "Co", "Co"], "fractional_positions": [[0.172, 0.672, 0.500], [0.672, 0.828, 0.500], [0.828, 0.328, 0.500], [0.328, 0.172, 0.500], [0.000, 0.000, 0.000], [0.500, 0.500, 0.000], [0.375, 0.875, 0.000], [0.875, 0.625, 0.000], [0.625, 0.125, 0.000], [0.125, 0.375, 0.000]]}

***

--- c ---
{"formula": "Cr2Co2Si", "functional": "PBE", "state": "optimized geometry", "sg": "P4/mbm", "lattice": [[6.863, 0.000, 0.000], [0.000, 6.863, 0.000], [0.000, 0.000, 2.529]], "species": ["Cr", "Cr", "Cr", "Cr", "Si", "Si", "Co", "Co", "Co", "Co"], "fractional_positions": [[0.379, 0.879, 0.000], [0.879, 0.621, 0.000], [0.621, 0.121, 0.000], [0.121, 0.379, 0.000], [0.000, 0.000, 0.000], [0.500, 0.500, 0.000], [0.170, 0.670, 0.500], [0.670, 0.830, 0.500], [0.830, 0.330, 0.500], [0.330, 0.170, 0.500]]}

***

Quick look at relative energies in kJ/mol of atoms: a 24.3; b 0.0; c 13.7.

***

--- a ---
{"formula": "SrCrCo", "functional": "PBE", "state": "optimized geometry", "sg": "P-6m2", "lattice": [[-1.532, -0.278, -3.556], [3.823, -0.445, 0.507], [-0.672, -5.003, 0.680]], "species": ["Co", "Cr", "Sr"], "fractional_positions": [[0.000, 0.000, 0.167], [0.667, 0.333, 0.167], [0.333, 0.667, 0.667]]}

***

--- b ---
{"formula": "SrCrCo", "functional": "PBE", "state": "optimized geometry", "sg": "F-43m", "lattice": [[4.886, 0.000, 0.000], [2.443, 4.231, 0.000], [2.443, 1.410, 3.989]], "species": ["Co", "Cr", "Sr"], "fractional_positions": [[0.000, 0.000, 0.000], [0.500, 0.500, 0.500], [0.750, 0.750, 0.750]]}

***

Quick look at relative energies in kJ/mol of atoms: a 0.0; b 107.9.

***

--- a ---
{"formula": "SrCrCo", "functional": "PBE", "state": "optimized geometry", "sg": "F-43m", "lattice": [[-4.531, -0.388, -0.995], [-2.274, -3.936, 1.002], [-3.141, -0.063, 3.435]], "species": ["Co", "Cr", "Sr"], "fractional_positions": [[0.750, 0.750, 0.750], [0.000, 0.000, 0.000], [0.500, 0.500, 0.500]]}

***

--- b ---
{"formula": "SrCrCo", "functional": "PBE", "state": "optimized geometry", "sg": "Imm2", "lattice": [[6.100, -0.060, -0.026], [4.393, 4.233, 0.026], [-5.204, -2.193, 2.307]], "species": ["Co", "Cr", "Sr"], "fractional_positions": [[0.949, 0.949, 0.000], [0.389, 0.389, 0.000], [0.662, 0.662, 0.000]]}

***

Quick look at relative energies in kJ/mol of atoms: a 32.0; b 0.0.